Entry 1:
Crystalline HgMo2H at its relaxed geometry. Source: Alexandria via LeMat-Bulk, functional GGA-PBE.

Results
E above lowest polymorph in eV/atom: 0.000
Magnetic moment in μB per formula unit: 0.000
VASP energy in eV per atom: -5.5948

Unit cell a=6.008 b=6.008 c=6.008 alpha=129.84 beta=129.84 gamma=73.67
Fractional coordinates of all 8 atoms:
Hg1 0.000 0.000 0.000
Hg2 0.750 0.250 0.500
Mo1 0.362 0.625 0.237
Mo2 0.375 0.612 0.737
Mo3 0.388 0.125 0.763
Mo4 0.875 0.638 0.263
H1 0.250 0.750 0.500
H2 0.500 0.500 0.000

***

Entry 2:
Crystalline Hg2MoH at its relaxed geometry. Source: Alexandria via LeMat-Bulk, functional GGA-PBE.

Results
E above lowest polymorph in eV/atom: 0.000
Magnetic moment in μB per formula unit: 0.881
VASP energy in eV per atom: -2.7343

Unit cell a=5.548 b=5.548 c=5.548 alpha=105.38 beta=105.38 gamma=118.01
Fractional coordinates of all 8 atoms:
Hg1 0.050 0.625 0.925
Hg2 0.375 0.300 0.425
Hg3 0.700 0.125 0.075
Hg4 0.875 0.950 0.575
Mo1 0.250 0.750 0.500
Mo2 0.500 0.500 0.000
H1 0.000 0.000 0.000
H2 0.750 0.250 0.500

***

Entry 3:
Crystalline HgMoH2 at its relaxed geometry. Source: Alexandria via LeMat-Bulk, functional GGA-PBE.

Results
E above lowest polymorph in eV/atom: 0.599
Magnetic moment in μB per formula unit: 1.969
VASP energy in eV per atom: -3.4630

Unit cell a=3.996 b=3.996 c=3.996 alpha=60.00 beta=60.00 gamma=60.00
Fractional coordinates of all 4 atoms:
Hg1 0.000 0.000 0.000
Mo1 0.500 0.500 0.500
H1 0.250 0.250 0.250
H2 0.750 0.750 0.750

***

Entry 4:
Crystalline HgMoH at its relaxed geometry. Source: Alexandria via LeMat-Bulk, functional GGA-PBE.

Results
Magnetic moment in μB per formula unit: 0.000
VASP energy in eV per atom: -4.4476

Unit cell a=2.833 b=5.070 c=6.856 alpha=100.84 beta=97.13 gamma=90.39
Fractional coordinates of all 6 atoms:
Hg1 0.000 0.000 0.000
Hg2 0.101 0.566 0.349
Mo1 0.421 0.269 0.715
Mo2 0.598 0.071 0.384
H1 0.863 0.000 0.643
H2 0.932 0.518 0.788

***

Which value of magnetic moment does entry 3 give? 1.969 μB per formula unit